Compound: TiCo3Ir
Source: Alexandria
Functional: PBE
Structure: relaxed

Total magnetic moment ... 4.47 μB per cell
E_form ... 1.182 eV/atom
Offset from the most stable computed form ... 3.4 kJ/mol of atoms

Cell lengths 4.5046, 4.5046, 4.5046 Å; angles 90.00, 90.00, 90.00 degrees
With the nearest neighbours (Å) after each atom.
Space group Pm-3m (No. 221)
Symmetry-distinct sites (fractional):
Ti 0.0000 0.0000 0.0000 [1 per cell]  12 Co 3.19
Co 0.0000 0.5000 0.5000 [3 per cell]  2 Ir 2.25
Ir 0.5000 0.5000 0.5000 [1 per cell]  6 Co 2.25